The following is a GGA-PBE calculation of a relaxed structure of Pm2SmO, from the Alexandria database.

Cell: 3.240 3.240 9.166 Å, 90.00 90.00 90.00°
Atoms (fractional coordinates):
Pm  0.000  0.000  0.170
Pm  0.000  0.000  0.830
Sm  0.500  0.500  0.500
O  0.500  0.500  0.000

Output
E above lowest polymorph ... 0.462 eV/atom
Size of the total moment ... 0.000 μB per cell
VASP energy ... -0.2059 hartree per atom
Space group ... P4/mmm (123)
ΔE_f (raw) ... -0.809 eV/atom